{
  "formula": "K2LaSi",
  "functional": "PBE-GGA",
  "state": "relaxed",
  "dos_ef_per_ev_atom": 1.43,
  "raw_formation_energy_ev_per_atom": 0.56,
  "spacegroup": "P4/mmm, No. 123",
  "energy_ev_per_atom": -2.5718,
  "magmom_total_mub_per_atom": 0.23,
  "lattice_angstrom": [[3.4425, 0.0000, 0.0000], [0.0000, 3.4425, 0.0000], [0.0000, 0.0000, 12.5995]],
  "species": ["K", "K", "La", "Si"],
  "frac_coords": [[0.0000, 0.0000, 0.1920], [0.0000, 0.0000, 0.8080], [0.5000, 0.5000, 0.5000], [0.5000, 0.5000, 0.0000]]
}

---

{
  "formula": "CoSiW2",
  "functional": "PBE-GGA",
  "state": "relaxed",
  "dos_ef_per_ev_atom": 0.31,
  "raw_formation_energy_ev_per_atom": -0.03,
  "spacegroup": "I4/mmm, No. 139",
  "energy_ev_per_atom": -9.6338,
  "magmom_total_mub_per_atom": 0.00,
  "lattice_angstrom": [[-1.8566, 1.8566, 3.9938], [1.8566, -1.8566, 3.9938], [1.8566, 1.8566, -3.9938]],
  "species": ["Co", "Si", "W", "W"],
  "frac_coords": [[0.0000, 0.0000, 0.0000], [0.5000, 0.5000, 0.0000], [0.2500, 0.7500, 0.5000], [0.7500, 0.2500, 0.5000]]
}

---

{
  "formula": "MnReTe2",
  "functional": "PBE-GGA",
  "state": "relaxed",
  "de_polymorph_ev_per_atom": 0.489,
  "dos_ef_per_ev_atom": 0.90,
  "raw_formation_energy_ev_per_atom": 0.57,
  "spacegroup": "P4/mmm, No. 123",
  "energy_ev_per_atom": -6.4025,
  "magmom_total_mub_per_atom": 0.76,
  "lattice_angstrom": [[3.3225, 0.0000, 0.0000], [0.0000, 3.3225, 0.0000], [0.0000, 0.0000, 6.7699]],
  "species": ["Mn", "Re", "Te", "Te"],
  "frac_coords": [[0.0000, 0.0000, 0.0000], [0.0000, 0.0000, 0.5000], [0.5000, 0.5000, 0.2523], [0.5000, 0.5000, 0.7477]]
}

---

{
  "formula": "MgAuSCl2",
  "functional": "PBE-GGA",
  "state": "relaxed",
  "de_polymorph_ev_per_atom": 0.153,
  "dos_ef_per_ev_atom": 0.21,
  "raw_formation_energy_ev_per_atom": -0.12,
  "spacegroup": "P4/mmm, No. 123",
  "energy_ev_per_atom": -2.6546,
  "magmom_total_mub_per_atom": 0.00,
  "lattice_angstrom": [[4.8907, 0.0000, 0.0000], [0.0000, 4.8907, 0.0000], [0.0000, 0.0000, 5.1129]],
  "species": ["Mg", "Au", "S", "Cl", "Cl"],
  "frac_coords": [[0.0000, 0.0000, 0.0000], [0.5000, 0.5000, 0.5000], [0.5000, 0.5000, 0.0000], [0.0000, 0.5000, 0.5000], [0.5000, 0.0000, 0.5000]]
}

---

{
  "formula": "AlCSe2",
  "functional": "PBE-GGA",
  "state": "relaxed",
  "de_polymorph_ev_per_atom": 0.537,
  "dos_ef_per_ev_atom": 0.73,
  "raw_formation_energy_ev_per_atom": 1.35,
  "spacegroup": "Fm-3m, No. 225",
  "energy_ev_per_atom": -3.6317,
  "magmom_total_mub_per_atom": 0.00,
  "lattice_angstrom": [[0.0000, 3.1694, 3.1694], [3.1694, 0.0000, 3.1694], [3.1694, 3.1694, 0.0000]],
  "species": ["Al", "C", "Se", "Se"],
  "frac_coords": [[0.0000, 0.0000, 0.0000], [0.5000, 0.5000, 0.5000], [0.2500, 0.2500, 0.2500], [0.7500, 0.7500, 0.7500]]
}

---

{
  "formula": "U2Tl3CrTe6",
  "functional": "PBE-GGA",
  "state": "relaxed",
  "dos_ef_per_ev_atom": 1.57,
  "raw_formation_energy_ev_per_atom": -0.42,
  "spacegroup": "C2/m, No. 12",
  "energy_ev_per_atom": -5.2617,
  "magmom_total_mub_per_atom": 0.75,
  "lattice_angstrom": [[3.7421, -6.4867, 0.0000], [3.7421, 6.4867, 0.0000], [-2.5075, 0.0000, 8.2798]],
  "species": ["U", "U", "Tl", "Tl", "Tl", "Cr", "Te", "Te", "Te", "Te", "Te", "Te"],
  "frac_coords": [[0.1650, 0.8350, 0.0000], [0.8350, 0.1650, 0.0000], [0.0000, 0.0000, 0.5000], [0.3268, 0.6732, 0.5000], [0.6732, 0.3268, 0.5000], [0.5000, 0.5000, 0.0000], [0.1136, 0.4324, 0.7944], [0.2514, 0.2514, 0.2116], [0.4324, 0.1136, 0.7944], [0.5676, 0.8864, 0.2056], [0.7486, 0.7486, 0.7884], [0.8864, 0.5676, 0.2056]]
}

---

{
  "formula": "CrBi",
  "functional": "PBE-GGA",
  "state": "relaxed",
  "dos_ef_per_ev_atom": 1.08,
  "formation_energy_ev_per_atom": 0.683,
  "spacegroup": "I4/m, No. 87",
  "energy_ev_per_atom": -6.0689,
  "magmom_total_mub_per_atom": 0.00,
  "lattice_angstrom": [[-5.6137, 5.6137, 1.5933], [5.6137, -5.6137, 1.5933], [5.6137, 5.6137, -1.5933]],
  "species": ["Cr", "Cr", "Cr", "Cr", "Bi", "Bi", "Bi", "Bi"],
  "frac_coords": [[0.1828, 0.7644, 0.9472], [0.2356, 0.1828, 0.4184], [0.7644, 0.8172, 0.5816], [0.8172, 0.2356, 0.0528], [0.2370, 0.5322, 0.7692], [0.4678, 0.2370, 0.7048], [0.5322, 0.7630, 0.2952], [0.7630, 0.4678, 0.2308]]
}

---

{
  "formula": "Y2CuCl",
  "functional": "PBE-GGA",
  "state": "relaxed",
  "de_polymorph_ev_per_atom": 1.069,
  "dos_ef_per_ev_atom": 1.48,
  "raw_formation_energy_ev_per_atom": 0.30,
  "spacegroup": "F-43m, No. 216",
  "energy_ev_per_atom": -4.4183,
  "magmom_total_mub_per_atom": 0.01,
  "lattice_angstrom": [[0.0000, 3.6138, 3.6138], [3.6138, 0.0000, 3.6138], [3.6138, 3.6138, 0.0000]],
  "species": ["Y", "Y", "Cu", "Cl"],
  "frac_coords": [[0.0000, 0.0000, 0.0000], [0.2500, 0.2500, 0.2500], [0.7500, 0.7500, 0.7500], [0.5000, 0.5000, 0.5000]]
}

---

{
  "formula": "Ta2NiAu",
  "functional": "PBE-GGA",
  "state": "relaxed",
  "de_polymorph_ev_per_atom": 0.268,
  "dos_ef_per_ev_atom": 1.25,
  "formation_energy_ev_per_atom": 0.124,
  "spacegroup": "R-3m, No. 166",
  "energy_ev_per_atom": -8.0673,
  "magmom_total_mub_per_atom": 0.00,
  "lattice_angstrom": [[1.4404, 0.8316, 9.1807], [-1.4404, 0.8316, 9.1807], [0.0000, -1.6632, 9.1807]],
  "species": ["Ta", "Ta", "Ni", "Au"],
  "frac_coords": [[0.2441, 0.2441, 0.2441], [0.7559, 0.7559, 0.7559], [0.5000, 0.5000, 0.5000], [0.0000, 0.0000, 0.0000]]
}

---

{
  "formula": "Tb2PbO5",
  "functional": "PBE-GGA",
  "state": "relaxed",
  "raw_formation_energy_ev_per_atom": -2.52,
  "spacegroup": "Pbam, No. 55",
  "energy_ev_per_atom": -7.2436,
  "magmom_total_mub_per_atom": 0.00,
  "lattice_angstrom": [[6.3262, 0.0000, 0.0000], [0.0000, 9.7437, 0.0000], [0.0000, 0.0000, 3.3457]],
  "species": ["Tb", "Tb", "Tb", "Tb", "Pb", "Pb", "O", "O", "O", "O", "O", "O", "O", "O", "O", "O"],
  "frac_coords": [[0.0258, 0.1687, 0.0000], [0.4742, 0.6687, 0.0000], [0.5258, 0.3313, 0.0000], [0.9742, 0.8313, 0.0000], [0.0000, 0.5000, 0.5000], [0.5000, 0.0000, 0.5000], [0.0000, 0.0000, 0.5000], [0.1660, 0.4002, 0.0000], [0.1755, 0.6990, 0.5000], [0.3245, 0.1990, 0.5000], [0.3340, 0.9002, 0.0000], [0.5000, 0.5000, 0.5000], [0.6660, 0.0998, 0.0000], [0.6755, 0.8010, 0.5000], [0.8245, 0.3010, 0.5000], [0.8340, 0.5998, 0.0000]]
}

---

{
  "formula": "Pm2CuSb4Pt3",
  "functional": "PBE-GGA",
  "state": "relaxed",
  "dos_ef_per_ev_atom": 0.43,
  "raw_formation_energy_ev_per_atom": -0.71,
  "spacegroup": "P-4m2, No. 115",
  "energy_ev_per_atom": -5.5357,
  "magmom_total_mub_per_atom": 0.00,
  "lattice_angstrom": [[4.4815, 0.0000, 0.0000], [0.0000, 4.4815, 0.0000], [0.0000, 0.0000, 11.2558]],
  "species": ["Pm", "Pm", "Cu", "Sb", "Sb", "Sb", "Sb", "Pt", "Pt", "Pt"],
  "frac_coords": [[0.0000, 0.5000, 0.2299], [0.5000, 0.0000, 0.7701], [0.5000, 0.5000, 0.0000], [0.0000, 0.0000, 0.5000], [0.0000, 0.5000, 0.8717], [0.5000, 0.0000, 0.1283], [0.5000, 0.5000, 0.5000], [0.0000, 0.0000, 0.0000], [0.0000, 0.5000, 0.6415], [0.5000, 0.0000, 0.3585]]
}

---

{
  "formula": "La4Nd2Mg",
  "functional": "PBE-GGA",
  "state": "relaxed",
  "de_polymorph_ev_per_atom": 0.295,
  "dos_ef_per_ev_atom": 1.46,
  "formation_energy_ev_per_atom": 0.441,
  "spacegroup": "P-42m, No. 111",
  "energy_ev_per_atom": -3.9645,
  "magmom_total_mub_per_atom": 0.00,
  "lattice_angstrom": [[4.8384, 0.0000, 0.0000], [0.0000, 4.8384, 0.0000], [0.0000, 0.0000, 11.2612]],
  "species": ["La", "La", "La", "La", "Nd", "Nd", "Mg"],
  "frac_coords": [[0.2280, 0.2280, 0.2352], [0.2280, 0.7720, 0.7648], [0.7720, 0.2280, 0.7648], [0.7720, 0.7720, 0.2352], [0.0000, 0.5000, 0.5000], [0.5000, 0.0000, 0.5000], [0.5000, 0.5000, 0.0000]]
}